First-principles (PBE+U) data for crystalline LiVF6 at its relaxed geometry, as listed in Alexandria.

Structure (extended XYZ):
```
8
Lattice="4.955 0.000 0.000 -2.477 4.291 0.000 0.000 0.000 4.619" Properties=species:S:1:pos:R:3 pbc="T T T"
Li 0.000 0.000 0.000
V 0.000 2.861 2.310
F -0.673 1.546 1.249
F -1.475 2.935 3.370
F 0.673 1.546 3.370
F -0.802 4.100 1.249
F 1.475 2.935 1.249
F 0.802 4.100 3.370
```

Output
* calculated density: 2.9 Mg/m³
* N(E_F): 0.000 states/eV per cell
* total magnetic moment: 0.1 μB per formula unit
* E_tot: -5.201 eV/atom